[1]
VASP calculation (PBE) on crystalline Tl2CuSe3 at its relaxed geometry.

Output
Crystal system: orthorhombic
Symmetry: Imm2, No. 44
Uncorrected formation energy in eV/f.u.: -1.21

```
data_Tl2CuSe3
_chemical_formula_sum 'Tl2 Cu1 Se3'
_space_group_name_H-M_alt 'P 1'
_space_group_IT_number 1
_space_group_name_Hall 'P 1'
_cell_length_a 7.647
_cell_length_b 7.647
_cell_length_c 7.647
_cell_angle_alpha 146.76
_cell_angle_beta 59.58
_cell_angle_gamma 132.07
loop_
_atom_site_label
_atom_site_type_symbol
_atom_site_fract_x
_atom_site_fract_y
_atom_site_fract_z
Tl1 Tl 0.159 0.000 0.159
Tl2 Tl 0.841 0.000 0.841
Cu1 Cu 0.517 0.017 0.500
Se1 Se 0.141 0.790 0.351
Se2 Se 0.439 0.790 0.649
Se3 Se 0.699 0.699 0.000
```


[2]
VASP calculation (PBE) on crystalline TlCu2Se at its relaxed geometry.

Output
Crystal system: tetragonal
Symmetry: P4mm, No. 99
Energy above the most stable polymorph in this dataset in kcal/mol of atoms: 2.51
Uncorrected formation energy in eV/f.u.: 0.55

```
data_TlCu2Se
_chemical_formula_sum 'Tl1 Cu2 Se1'
_space_group_name_H-M_alt 'P 1'
_space_group_IT_number 1
_space_group_name_Hall 'P 1'
_cell_length_a 3.548
_cell_length_b 3.548
_cell_length_c 6.360
_cell_angle_alpha 90.00
_cell_angle_beta 90.00
_cell_angle_gamma 90.00
loop_
_atom_site_label
_atom_site_type_symbol
_atom_site_fract_x
_atom_site_fract_y
_atom_site_fract_z
Tl1 Tl 0.000 0.000 0.000
Cu1 Cu 0.000 0.000 0.542
Cu2 Cu 0.500 0.500 0.201
Se1 Se 0.500 0.500 0.570
```


[3]
VASP calculation (PBE) on crystalline Tl2CuSe at its relaxed geometry.

Output
Crystal system: monoclinic
Symmetry: P2/m, No. 10
Energy above the most stable polymorph in this dataset in kcal/mol of atoms: 5.77
Uncorrected formation energy in eV/f.u.: 0.53

```
data_Tl2CuSe
_chemical_formula_sum 'Tl2 Cu1 Se1'
_space_group_name_H-M_alt 'P 1'
_space_group_IT_number 1
_space_group_name_Hall 'P 1'
_cell_length_a 4.244
_cell_length_b 3.913
_cell_length_c 6.299
_cell_angle_alpha 90.00
_cell_angle_beta 109.49
_cell_angle_gamma 90.00
loop_
_atom_site_label
_atom_site_type_symbol
_atom_site_fract_x
_atom_site_fract_y
_atom_site_fract_z
Tl1 Tl 0.206 0.000 0.262
Tl2 Tl 0.794 0.000 0.738
Cu1 Cu 0.000 0.500 0.500
Se1 Se 0.500 0.500 0.000
```


[4]
VASP calculation (PBE) on crystalline Tl3Cu2Se3 at its relaxed geometry.

Output
Crystal system: orthorhombic
Symmetry: Pnma, No. 62
Energy above the most stable polymorph in this dataset in kcal/mol of atoms: 0.35
Uncorrected formation energy in eV/f.u.: -1.80

```
data_Tl3Cu2Se3
_chemical_formula_sum 'Tl12 Cu8 Se12'
_space_group_name_H-M_alt 'P 1'
_space_group_IT_number 1
_space_group_name_Hall 'P 1'
_cell_length_a 8.356
_cell_length_b 14.663
_cell_length_c 6.559
_cell_angle_alpha 90.00
_cell_angle_beta 90.00
_cell_angle_gamma 90.00
loop_
_atom_site_label
_atom_site_type_symbol
_atom_site_fract_x
_atom_site_fract_y
_atom_site_fract_z
Tl1 Tl 0.036 0.116 0.103
Tl2 Tl 0.036 0.384 0.103
Tl3 Tl 0.196 0.250 0.511
Tl4 Tl 0.304 0.750 0.011
Tl5 Tl 0.464 0.616 0.603
Tl6 Tl 0.464 0.884 0.603
Tl7 Tl 0.536 0.116 0.397
Tl8 Tl 0.536 0.384 0.397
Tl9 Tl 0.696 0.250 0.989
Tl10 Tl 0.804 0.750 0.489
Tl11 Tl 0.964 0.616 0.897
Tl12 Tl 0.964 0.884 0.897
Cu1 Cu 0.120 0.583 0.375
Cu2 Cu 0.120 0.917 0.375
Cu3 Cu 0.380 0.083 0.875
Cu4 Cu 0.380 0.417 0.875
Cu5 Cu 0.620 0.583 0.125
Cu6 Cu 0.620 0.917 0.125
Cu7 Cu 0.880 0.083 0.625
Cu8 Cu 0.880 0.417 0.625
Se1 Se 0.163 0.750 0.430
Se2 Se 0.165 0.038 0.637
Se3 Se 0.165 0.462 0.637
Se4 Se 0.335 0.538 0.137
Se5 Se 0.335 0.962 0.137
Se6 Se 0.337 0.250 0.930
Se7 Se 0.663 0.750 0.070
Se8 Se 0.665 0.038 0.863
Se9 Se 0.665 0.462 0.863
Se10 Se 0.835 0.538 0.363
Se11 Se 0.835 0.962 0.363
Se12 Se 0.837 0.250 0.570
```


[5]
VASP calculation (PBE) on crystalline TmTlCuSe3 at its relaxed geometry.

Output
Crystal system: monoclinic
Symmetry: C2/m, No. 12
Uncorrected formation energy in eV/f.u.: -5.01

```
data_TmTlCuSe3
_chemical_formula_sum 'Tm2 Tl2 Cu2 Se6'
_space_group_name_H-M_alt 'P 1'
_space_group_IT_number 1
_space_group_name_Hall 'P 1'
_cell_length_a 8.138
_cell_length_b 8.138
_cell_length_c 8.474
_cell_angle_alpha 100.12
_cell_angle_beta 100.12
_cell_angle_gamma 34.54
loop_
_atom_site_label
_atom_site_type_symbol
_atom_site_fract_x
_atom_site_fract_y
_atom_site_fract_z
Tm1 Tm 0.143 0.143 0.051
Tm2 Tm 0.857 0.857 0.949
Tl1 Tl 0.153 0.153 0.550
Tl2 Tl 0.847 0.847 0.450
Cu1 Cu 0.484 0.484 0.197
Cu2 Cu 0.516 0.516 0.803
Se1 Se 0.004 0.004 0.782
Se2 Se 0.326 0.326 0.164
Se3 Se 0.360 0.360 0.754
Se4 Se 0.640 0.640 0.246
Se5 Se 0.674 0.674 0.836
Se6 Se 0.996 0.996 0.218
```


[6]
VASP calculation (PBE) on crystalline U3TlCu4Se12 at its relaxed geometry.

Output
Crystal system: trigonal
Symmetry: R32, No. 155
Uncorrected formation energy in eV/f.u.: -9.96

```
data_U3TlCu4Se12
_chemical_formula_sum 'U3 Tl1 Cu4 Se12'
_space_group_name_H-M_alt 'P 1'
_space_group_IT_number 1
_space_group_name_Hall 'P 1'
_cell_length_a 8.961
_cell_length_b 8.961
_cell_length_c 8.961
_cell_angle_alpha 106.88
_cell_angle_beta 106.88
_cell_angle_gamma 106.88
loop_
_atom_site_label
_atom_site_type_symbol
_atom_site_fract_x
_atom_site_fract_y
_atom_site_fract_z
U1 U 0.000 0.561 0.439
U2 U 0.439 0.000 0.561
U3 U 0.561 0.439 0.000
Tl1 Tl 0.000 0.000 0.000
Cu1 Cu 0.068 0.500 0.932
Cu2 Cu 0.500 0.500 0.500
Cu3 Cu 0.500 0.932 0.068
Cu4 Cu 0.932 0.068 0.500
Se1 Se 0.041 0.648 0.758
Se2 Se 0.097 0.903 0.500
Se3 Se 0.242 0.352 0.959
Se4 Se 0.340 0.660 0.500
Se5 Se 0.352 0.959 0.242
Se6 Se 0.500 0.097 0.903
Se7 Se 0.500 0.340 0.660
Se8 Se 0.648 0.758 0.041
Se9 Se 0.660 0.500 0.340
Se10 Se 0.758 0.041 0.648
Se11 Se 0.903 0.500 0.097
Se12 Se 0.959 0.242 0.352
```


The records above give, respectively, uncorrected energy values of -0.1255, -0.1240, -0.1083, -0.1266, -0.1617, -0.1918 Ha/atom.